# PmMg2CdHg2 (PBE, relaxed)
# calculated volume	141.0	Å³ per cell
# formation energy from the elements	-33.48	kJ/mol of atoms
data_PmMg2CdHg2
_cell_length_a 4.9054
_cell_length_b 4.9054
_cell_length_c 6.7652
_cell_angle_alpha 90.00
_cell_angle_beta 90.00
_cell_angle_gamma 120.00
_symmetry_space_group_name_H-M 'P -3 m 1'
_symmetry_Int_Tables_number 164
_symmetry_space_group_name_Hall '-P 3 2"'
loop_
_atom_site_label
_atom_site_type_symbol
_atom_site_fract_x
_atom_site_fract_y
_atom_site_fract_z
_atom_site_occupancy
Pm1 Pm 0.0000 0.0000 0.0000 1
Mg1 Mg 0.3333 0.6667 0.6843 1
Cd1 Cd 0.0000 0.0000 0.5000 1
Hg1 Hg 0.3333 0.6667 0.2223 1

---

# PmMg2Cd2Hg2 (PBE, relaxed)
# calculated volume	330.3	Å³ per cell
# formation energy from the elements	-24.33	kJ/mol of atoms
data_PmMg2Cd2Hg2
_cell_length_a 9.198
_cell_length_b 4.578
_cell_length_c 7.974
_cell_angle_alpha 90.00
_cell_angle_beta 100.35
_cell_angle_gamma 90.00
_symmetry_space_group_name_H-M 'C 1 2/m 1'
_symmetry_Int_Tables_number 12
loop_
_symmetry_equiv_pos_as_xyz
'x,y,z'
'-x,-y,-z'
'-x,y,-z'
'x,-y,z'
'x+1/2,y+1/2,z'
'-x+1/2,-y+1/2,-z'
'-x+1/2,y+1/2,-z'
'x+1/2,-y+1/2,z'
loop_
_atom_site_label
_atom_site_type_symbol
_atom_site_fract_x
_atom_site_fract_y
_atom_site_fract_z
_atom_site_occupancy
Pm1 Pm 0.000 0.000 0.000 1
Mg1 Mg 0.137 0.000 0.428 1
Cd1 Cd 0.080 0.500 0.699 1
Hg1 Hg 0.213 0.500 0.189 1

---

# PmMgCdHg (PBE, relaxed)
# calculated volume	388.4	Å³ per cell
# formation energy from the elements	-38.39	kJ/mol of atoms
data_PmMgCdHg
_cell_length_a 7.296
_cell_length_b 7.296
_cell_length_c 7.296
_cell_angle_alpha 90.00
_cell_angle_beta 90.00
_cell_angle_gamma 90.00
_symmetry_space_group_name_H-M 'F -4 3 m'
_symmetry_Int_Tables_number 216
_symmetry_space_group_name_Hall 'F -4 2 3'
loop_
_atom_site_label
_atom_site_type_symbol
_atom_site_fract_x
_atom_site_fract_y
_atom_site_fract_z
_atom_site_occupancy
Pm1 Pm 0.000 0.000 0.000 1
Mg1 Mg 0.000 0.000 0.500 1
Cd1 Cd 0.250 0.250 0.750 1
Hg1 Hg 0.250 0.250 0.250 1

---

# Pm2MgCd3Hg6 (PBE, relaxed)
# calculated volume	384.8	Å³ per cell
# formation energy from the elements	-1.83	kJ/mol of atoms
data_Pm2MgCd3Hg6
_cell_length_a 4.577
_cell_length_b 4.577
_cell_length_c 18.367
_cell_angle_alpha 90.00
_cell_angle_beta 90.00
_cell_angle_gamma 90.00
_symmetry_space_group_name_H-M 'P 4/m m m'
_symmetry_Int_Tables_number 123
_symmetry_space_group_name_Hall '-P 4 2'
loop_
_atom_site_label
_atom_site_type_symbol
_atom_site_fract_x
_atom_site_fract_y
_atom_site_fract_z
_atom_site_occupancy
Pm1 Pm 0.000 0.000 0.227 1
Mg1 Mg 0.000 0.000 0.000 1
Cd1 Cd 0.500 0.500 0.199 1
Cd2 Cd 0.500 0.500 0.500 1
Hg1 Hg 0.000 0.500 0.093 1
Hg2 Hg 0.500 0.500 0.350 1

---

# PrMgCd2Hg4 (PBE, relaxed)
# calculated volume	573.5	Å³ per cell
# formation energy from the elements	-23.50	kJ/mol of atoms
data_PrMgCd2Hg4
_cell_length_a 4.9749
_cell_length_b 4.9749
_cell_length_c 26.7576
_cell_angle_alpha 90.00
_cell_angle_beta 90.00
_cell_angle_gamma 120.00
_symmetry_space_group_name_H-M 'R -3 m'
_symmetry_Int_Tables_number 166
_symmetry_space_group_name_Hall '-R 3 2"'
loop_
_atom_site_label
_atom_site_type_symbol
_atom_site_fract_x
_atom_site_fract_y
_atom_site_fract_z
_atom_site_occupancy
Pr1 Pr 0.0000 0.0000 0.0000 1
Mg1 Mg 0.0000 0.0000 0.5000 1
Cd1 Cd 0.0000 0.0000 0.2498 1
Hg1 Hg 0.0000 0.0000 0.1297 1
Hg2 Hg 0.0000 0.0000 0.3852 1

---

# Pr2MgCdHg4 (PBE, relaxed)
# calculated volume	600.8	Å³ per cell
# formation energy from the elements	-43.03	kJ/mol of atoms
data_Pr2MgCdHg4
_cell_length_a 5.2160
_cell_length_b 5.2160
_cell_length_c 25.5000
_cell_angle_alpha 90.00
_cell_angle_beta 90.00
_cell_angle_gamma 120.00
_symmetry_space_group_name_H-M 'R -3 m'
_symmetry_Int_Tables_number 166
_symmetry_space_group_name_Hall '-R 3 2"'
loop_
_atom_site_label
_atom_site_type_symbol
_atom_site_fract_x
_atom_site_fract_y
_atom_site_fract_z
_atom_site_occupancy
Pr1 Pr 0.0000 0.0000 0.2478 1
Mg1 Mg 0.0000 0.0000 0.0000 1
Cd1 Cd 0.0000 0.0000 0.5000 1
Hg1 Hg 0.0000 0.0000 0.1219 1
Hg2 Hg 0.0000 0.0000 0.3727 1

---

# PrMg2Cd2Hg2 (PBE, relaxed)
# calculated volume	533.2	Å³ per cell
# formation energy from the elements	-21.60	kJ/mol of atoms
data_PrMg2Cd2Hg2
_cell_length_a 4.9333
_cell_length_b 4.9333
_cell_length_c 25.2962
_cell_angle_alpha 90.00
_cell_angle_beta 90.00
_cell_angle_gamma 120.00
_symmetry_space_group_name_H-M 'R -3 m'
_symmetry_Int_Tables_number 166
_symmetry_space_group_name_Hall '-R 3 2"'
loop_
_atom_site_label
_atom_site_type_symbol
_atom_site_fract_x
_atom_site_fract_y
_atom_site_fract_z
_atom_site_occupancy
Pr1 Pr 0.0000 0.0000 0.0000 1
Mg1 Mg 0.0000 0.0000 0.1325 1
Cd1 Cd 0.0000 0.0000 0.2506 1
Hg1 Hg 0.0000 0.0000 0.3981 1

---

# PrMg2CdHg2 (PBE, relaxed)
# calculated volume	143.9	Å³ per cell
# formation energy from the elements	-33.47	kJ/mol of atoms
data_PrMg2CdHg2
_cell_length_a 4.9099
_cell_length_b 4.9099
_cell_length_c 6.8930
_cell_angle_alpha 90.00
_cell_angle_beta 90.00
_cell_angle_gamma 120.00
_symmetry_space_group_name_H-M 'P -3 m 1'
_symmetry_Int_Tables_number 164
_symmetry_space_group_name_Hall '-P 3 2"'
loop_
_atom_site_label
_atom_site_type_symbol
_atom_site_fract_x
_atom_site_fract_y
_atom_site_fract_z
_atom_site_occupancy
Pr1 Pr 0.0000 0.0000 0.0000 1
Mg1 Mg 0.3333 0.6667 0.6799 1
Cd1 Cd 0.0000 0.0000 0.5000 1
Hg1 Hg 0.3333 0.6667 0.2283 1